This record from the Alexandria database describes a relaxed structure of La8NdY5. The functional is PBE.

a = 8.709 Å, b = 8.709 Å, c = 8.709 Å
α = 111.51°, β = 111.51°, γ = 105.47°
Fractional coordinates of all 14 atoms:
La (0.156, 0.433, 0.091)
La (0.342, 0.065, 0.909)
La (0.428, 0.165, 0.399)
La (0.567, 0.658, 0.723)
La (0.766, 0.029, 0.601)
La (0.835, 0.234, 0.263)
La (0.935, 0.844, 0.277)
La (0.971, 0.572, 0.737)
Nd (0.250, 0.750, 0.500)
Y (0.000, 0.000, 0.000)
Y (0.227, 0.317, 0.691)
Y (0.464, 0.773, 0.090)
Y (0.626, 0.536, 0.309)
Y (0.683, 0.374, 0.910)

Computed properties:
raw total energy = -5.23 eV/atom
total moment = 0.00 μB per formula unit
DOS(E_F) = 22.523 states/eV per cell